[1]
Density functional theory data (PBE-GGA) for CaBeAg2 after structural relaxation.

Final energy = -2.63 eV/atom

Cell: 5.1102 5.1102 8.4788 Å, 72.46 72.46 90.00°
Fractional positions:
Be1 0.5000 0.5000 0.0000
Be2 0.2500 0.7500 0.5000
Ca1 0.0000 0.0000 0.0000
Ca2 0.7500 0.2500 0.5000
Ag1 0.4352 0.1250 0.2500
Ag2 0.3148 0.6250 0.2500
Ag3 0.3750 0.5648 0.7500
Ag4 0.8750 0.6852 0.7500

[2]
Density functional theory data (PBE-GGA) for Ca2BeAg after structural relaxation.

Final energy = -2.37 eV/atom

Cell: 8.3710 8.3710 8.3710 Å, 27.47 27.47 27.47°
Each line ends with the local moment (μB).
Fractional positions:
Be1 0.7500 0.7500 0.7500  0.05
Ca1 0.0057 0.0057 0.0057  0.03
Ca2 0.4943 0.4943 0.4943  0.03
Ag1 0.2500 0.2500 0.2500  0.01